Below is a geometry-optimized Hf2MgBr structure, with properties calculated at the PBE level.

abc: 4.9628 4.9628 4.9628
angles: 60.00 60.00 60.00
Closest atoms and distances in Å follow each position.
Atoms (fractional coordinates):
Hf: 0.2500 0.2500 0.2500  4 Br 3.04, 4 Mg 3.04
Hf: 0.7500 0.7500 0.7500  4 Br 3.04, 4 Mg 3.04
Mg: 0.0000 0.0000 0.0000  8 Hf 3.04
Br: 0.5000 0.5000 0.5000  8 Hf 3.04

## Properties
Energy relative to the elements, uncorrected   0.42 eV per atom
Crystal system   cubic
VASP energy   -5.373 eV per atom
Energy above the most stable polymorph in this dataset   0.067 eV/atom
N(E_F)   6.54 states/eV/f.u.

=====

Below is a geometry-optimized SrTbO2 structure, with properties calculated at the PBE level.

abc: 3.5024 3.5024 6.5263
angles: 74.43 74.43 60.00
Closest atoms and distances in Å follow each position.
Atoms (fractional coordinates):
Tb: 0.6699 0.6699 0.9904  6 O 2.35-2.40
Sr: 0.4951 0.4951 0.5148  6 O 2.67-2.82
O: 0.0680 0.0680 0.7961  3 Tb 2.35
O: 0.2671 0.2671 0.1987  3 Tb 2.40

## Properties
Energy relative to the elements, uncorrected   -2.64 eV per atom
Crystal system   trigonal
VASP energy   -6.698 eV per atom
Energy above the most stable polymorph in this dataset   0.114 eV/atom
N(E_F)   0.89 states/eV/f.u.

=====

Below is a geometry-optimized Th4RuAuS2 structure, with properties calculated at the PBE level.

abc: 4.1132 7.4195 7.1485
angles: 71.67 90.00 90.00
Closest atoms and distances in Å follow each position.
Atoms (fractional coordinates):
S: 0.5000 0.0000 0.5000  6 Th 3.05-3.06
Th: 0.5000 0.7512 0.2300  1 Ru 2.85, 3 S 2.90-3.06, 2 Au 3.03
Th: 0.0000 0.7381 0.7673  2 Ru 2.88, 3 S 2.93-3.05, 1 Au 2.98
Ru: 0.5000 0.5000 0.0000  6 Th 2.85-2.88
Th: 0.0000 0.2619 0.2327  2 Ru 2.88, 3 S 2.93-3.05, 1 Au 2.98
Au: 0.0000 0.5000 0.5000  6 Th 2.98-3.03
Th: 0.5000 0.2488 0.7700  1 Ru 2.85, 3 S 2.90-3.06, 2 Au 3.03
S: 0.0000 0.0000 0.0000  6 Th 2.90-2.93

## Properties
Energy relative to the elements, uncorrected   -1.11 eV per atom
Crystal system   monoclinic
VASP energy   -7.419 eV per atom
N(E_F)   6.20 states/eV/f.u.

=====

Below is a geometry-optimized Li3Cd2Pt structure, with properties calculated at the PBE level.

abc: 2.8795 7.7372 9.6809
angles: 91.89 98.55 90.00
Closest atoms and distances in Å follow each position.
Atoms (fractional coordinates):
Li: 0.4374 0.4208 0.8748  1 Pt 2.59, 5 Li 2.66-2.88, 1 Cd 2.79
Cd: 0.3130 0.5994 0.6260  6 Li 2.79-3.03, 2 Cd 2.88
Pt: 0.5845 0.9113 0.1691  5 Li 2.59-2.64, 2 Pt 2.88
Li: 0.8207 0.9216 0.6414  3 Li 2.59-2.88, 2 Pt 2.62, 2 Cd 2.88
Pt: 0.4155 0.0887 0.8309  5 Li 2.59-2.64, 2 Pt 2.88
Li: 0.1760 0.7429 0.3520  5 Li 2.59-2.88, 2 Pt 2.64, 1 Cd 2.88
Li: 0.5626 0.5792 0.1252  1 Pt 2.59, 5 Li 2.66-2.88, 1 Cd 2.79
Cd: 0.0398 0.2173 0.0795  2 Cd 2.88, 5 Li 2.91-3.17, 4 Pt 2.92-2.93
Li: 0.1793 0.0784 0.3586  3 Li 2.59-2.88, 2 Pt 2.62, 2 Cd 2.88
Cd: 0.6870 0.4006 0.3740  6 Li 2.79-3.03, 2 Cd 2.88
Li: 0.8240 0.2571 0.6480  5 Li 2.59-2.88, 2 Pt 2.64, 1 Cd 2.88
Cd: 0.9602 0.7827 0.9205  2 Cd 2.88, 5 Li 2.91-3.17, 4 Pt 2.92-2.93

## Properties
Crystal system   monoclinic
VASP energy   -2.546 eV per atom
Formation energy   -277.2 meV/atom
Energy above the most stable polymorph in this dataset   0.090 eV/atom
N(E_F)   2.46 states/eV/f.u.

=====

Below is a geometry-optimized YMgAg structure, with properties calculated at the PBE level.

abc: 7.7934 7.7934 4.0593
angles: 90.00 90.00 120.00
Closest atoms and distances in Å follow each position.
Atoms (fractional coordinates):
Y: 0.4123 0.4123 0.5000  5 Ag 3.11-3.21, 6 Mg 3.33-3.46
Ag: 0.0000 0.0000 0.5000  6 Mg 2.81
Y: 0.5877 0.0000 0.5000  5 Ag 3.11-3.21, 6 Mg 3.33-3.46
Ag: 0.3333 0.6667 0.0000  3 Mg 2.98, 6 Y 3.11
Mg: 0.0000 0.2485 0.0000  4 Ag 2.81-2.98
Ag: 0.6667 0.3333 0.0000  3 Mg 2.98, 6 Y 3.11
Mg: 0.2485 0.0000 0.0000  4 Ag 2.81-2.98
Y: 0.0000 0.5877 0.5000  5 Ag 3.11-3.21, 6 Mg 3.33-3.46
Mg: 0.7515 0.7515 0.0000  4 Ag 2.81-2.98

## Properties
Crystal system   hexagonal
VASP energy   -3.922 eV per atom
Formation energy   -285.6 meV/atom
N(E_F)   2.63 states/eV/f.u.

=====

Below is a geometry-optimized Li2FeSiH structure, with properties calculated at the PBE level.

abc: 3.5656 3.9207 3.5656
angles: 90.00 90.00 90.00
Closest atoms and distances in Å follow each position.
Atoms (fractional coordinates):
Li: 0.0000 0.0000 0.5000  2 H 1.78
H: 0.0000 0.0000 0.0000  4 Li 1.78, 2 Fe 1.96
Fe: 0.0000 0.5000 0.0000  2 H 1.96
Li: 0.5000 0.0000 0.0000  2 H 1.78
Si: 0.5000 0.5000 0.5000  4 Fe 2.52, 8 Li 2.65

## Properties
Crystal system   tetragonal
VASP energy   -4.338 eV per atom
N(E_F)   2.43 states/eV/f.u.

=====

Below is a geometry-optimized Cr2CoSe structure, with properties calculated at the PBE level.

abc: 4.7467 4.7467 4.7467
angles: 139.71 129.76 66.28
Closest atoms and distances in Å follow each position.
Atoms (fractional coordinates):
Cr: 0.7428 0.2428 0.5000  4 Co 2.60, 4 Se 2.62-2.79, 4 Cr 2.65-2.77
Co: 0.2674 0.7674 0.5000  2 Se 2.38, 6 Cr 2.60-2.65
Se: 0.4853 0.4853 0.0000  2 Co 2.38, 6 Cr 2.60-2.62
Cr: 0.0045 0.0045 0.0000  4 Se 2.60, 4 Cr 2.65-2.77, 4 Co 2.65-2.76

## Properties
Energy relative to the elements, uncorrected   0.21 eV per atom
Crystal system   orthorhombic
VASP energy   -7.245 eV per atom
N(E_F)   4.38 states/eV/f.u.

=====

Below is a geometry-optimized Sb2AsRh structure, with properties calculated at the PBE level.

abc: 4.9005 4.9005 4.9005
angles: 60.00 60.00 60.00
Closest atoms and distances in Å follow each position.
Atoms (fractional coordinates):
As: 0.5000 0.5000 0.5000  4 Rh 3.00, 4 Sb 3.00
Sb: 0.0000 0.0000 0.0000  4 Sb 3.00, 4 Rh 3.00
Rh: 0.7500 0.7500 0.7500  4 As 3.00, 4 Sb 3.00
Sb: 0.2500 0.2500 0.2500  4 As 3.00, 4 Sb 3.00

## Properties
Energy relative to the elements, uncorrected   0.29 eV per atom
Crystal system   cubic
VASP energy   -4.775 eV per atom
N(E_F)   2.50 states/eV/f.u.

=====

Q: The highest VASP energy belongs to which entry?
A: Li3Cd2Pt